<1>
This record from the Alexandria database describes FeCo2Ir at its PBEsol-relaxed geometry. The functional is SCAN.

Results
For the volume, the calculation gives 94 Å³ per cell. The space group is Immm. Its magnetic moment is 7.59 μB/f.u.

a b c (Å): 2.805 4.135 8.137
angles (deg): 90.00 90.00 90.00
Fractional coordinates of all 8 atoms:
Fe 0.000 0.000 0.000
Fe 0.500 0.500 0.500
Co 0.000 0.500 0.265
Co 0.000 0.500 0.735
Co 0.500 0.000 0.235
Co 0.500 0.000 0.765
Ir 0.000 0.000 0.500
Ir 0.500 0.500 0.000


<2>
This record from the Alexandria database describes FeCo2Ir at its PBEsol-relaxed geometry. The functional is SCAN.

Results
For the volume, the calculation gives 141 Å³ per cell. The space group is R3m. Its magnetic moment is 6.91 μB/f.u.

a b c (Å): 2.585 2.585 24.421
angles (deg): 90.00 90.00 120.00
Fractional coordinates of all 12 atoms:
Fe 0.000 0.000 0.000
Fe 0.333 0.667 0.667
Fe 0.667 0.333 0.333
Co 0.000 0.000 0.252
Co 0.000 0.000 0.508
Co 0.333 0.667 0.174
Co 0.333 0.667 0.919
Co 0.667 0.333 0.585
Co 0.667 0.333 0.841
Ir 0.000 0.000 0.753
Ir 0.333 0.667 0.420
Ir 0.667 0.333 0.087


Name the least stable of them. <2>.